VGaRe | PBE-GGA | relaxed

a = 3.164 Å, b = 3.164 Å, c = 4.834 Å
α = 109.10°, β = 109.10°, γ = 90.00°
Last column: magnetic moment on the atom in μB.
Element x y z (fractional)
Re1 0.324 0.324 0.648  0.01
Ga1 0.001 0.001 0.002  0.00
V1 0.675 0.675 0.350  0.35

Summary:
- Excess energy over the best structure of this formula in the dataset: 0 kJ/mol of formula units
- Calculated volume: 42.9 Å³ per cell
- N(E_F): 2.80 states/eV/f.u.
- Mass density: 11.879 g cm⁻³
- ΔE_f: -187 meV per atom